1.
La2CuTe2S2: optimized geometry, PBE.

- space group = P-3m1, No. 164

Cell lengths 4.742, 4.742, 12.501 Å; angles 90.00, 90.00, 120.00 degrees
Atoms (fractional coordinates):
La: 0.333 0.667 0.147
La: 0.667 0.333 0.853
Cu: 0.000 0.000 0.500
Te: 0.000 0.000 0.307
Te: 0.000 0.000 0.693
S: 0.333 0.667 0.914
S: 0.667 0.333 0.086

---

2.
La2CuTeS5: optimized geometry, PBE.

- space group = Cmc2_1, No. 36

Cell lengths 9.154, 9.154, 11.843 Å; angles 90.00, 90.00, 154.73 degrees
Atoms (fractional coordinates):
La: 0.115 0.885 0.500
La: 0.123 0.877 0.123
La: 0.877 0.123 0.623
La: 0.885 0.115 0.000
Cu: 0.249 0.751 0.920
Cu: 0.751 0.249 0.420
Te: 0.399 0.601 0.281
Te: 0.601 0.399 0.781
S: 0.033 0.967 0.915
S: 0.298 0.702 0.123
S: 0.306 0.694 0.464
S: 0.355 0.645 0.813
S: 0.491 0.509 0.114
S: 0.509 0.491 0.614
S: 0.645 0.355 0.313
S: 0.694 0.306 0.964
S: 0.702 0.298 0.623
S: 0.967 0.033 0.415

---

3.
La2ThCuS5: optimized geometry, PBE.

- space group = Cmc2_1, No. 36

Cell lengths 8.642, 8.642, 12.293 Å; angles 90.00, 90.00, 153.56 degrees
Atoms (fractional coordinates):
La: 0.114 0.886 0.500
La: 0.118 0.882 0.152
La: 0.882 0.118 0.652
La: 0.886 0.114 0.000
Th: 0.178 0.822 0.833
Th: 0.822 0.178 0.333
Cu: 0.451 0.549 0.225
Cu: 0.549 0.451 0.725
S: 0.016 0.984 0.815
S: 0.301 0.699 0.496
S: 0.317 0.683 0.167
S: 0.344 0.656 0.826
S: 0.492 0.508 0.557
S: 0.508 0.492 0.057
S: 0.656 0.344 0.326
S: 0.683 0.317 0.667
S: 0.699 0.301 0.996
S: 0.984 0.016 0.315

---

4.
LaTi2CuS: optimized geometry, PBE.

- space group = P4/mmm, No. 123
- relative energy among the computed polymorphs (kcal/mol of atoms) = 10.64

Cell lengths 4.596, 4.596, 5.795 Å; angles 90.00, 90.00, 90.00 degrees
Atoms (fractional coordinates):
La: 0.000 0.000 0.000
Ti: 0.000 0.500 0.500
Ti: 0.500 0.000 0.500
Cu: 0.000 0.000 0.500
S: 0.500 0.500 0.000

---

5.
LaTi2CuS: optimized geometry, PBE.

- space group = P4/mmm, No. 123
- relative energy among the computed polymorphs (kcal/mol of atoms) = 0.00

Cell lengths 4.539, 4.539, 5.440 Å; angles 90.00, 90.00, 90.00 degrees
Atoms (fractional coordinates):
La: 0.000 0.000 0.000
Ti: 0.000 0.500 0.500
Ti: 0.500 0.000 0.500
Cu: 0.500 0.500 0.000
S: 0.000 0.000 0.500

---

6.
LaTiCu2S: optimized geometry, PBE.

- space group = P4/mmm, No. 123

Cell lengths 4.459, 4.459, 5.417 Å; angles 90.00, 90.00, 90.00 degrees
Atoms (fractional coordinates):
La: 0.000 0.000 0.000
Ti: 0.500 0.500 0.000
Cu: 0.000 0.500 0.500
Cu: 0.500 0.000 0.500
S: 0.000 0.000 0.500

---

What are the E_form (uncorrected) values for these records? In order: -1.259; -1.143; -1.808; 0.250; -0.211; 0.209 eV per atom.